[1]
DFT (PBE) results for a relaxed structure of LiLuHfCo.

Output
Energy   -0.43759 Ry/atom
Energy of formation from the pure elements   -0.080 eV per atom

abc: 4.6246 4.6246 4.6246
angles: 60.00 60.00 60.00
Fractional positions:
1 Lu 0.7500 0.7500 0.7500
2 Hf 0.2500 0.2500 0.2500
3 Li 0.0000 0.0000 0.0000
4 Co 0.5000 0.5000 0.5000

[2]
DFT (PBE) results for a relaxed structure of LiHfMgCo.

Output
Energy   -0.37792 Ry/atom
Energy of formation from the pure elements   0.000 eV per atom

abc: 4.4531 4.4531 4.4531
angles: 60.00 60.00 60.00
Fractional positions:
1 Li 0.0000 0.0000 0.0000
2 Mg 0.7500 0.7500 0.7500
3 Hf 0.2500 0.2500 0.2500
4 Co 0.5000 0.5000 0.5000

[3]
DFT (PBE) results for a relaxed structure of LiHfMg2Co.

Output
Energy   -0.25384 Ry/atom
Energy of formation from the pure elements   0.979 eV per atom

abc: 5.6980 4.3962 5.6980
angles: 90.00 90.00 90.00
Fractional positions:
1 Co 0.0000 0.5000 0.0000
2 Li 0.5000 0.5000 0.5000
3 Mg 0.5000 0.0000 0.0000
4 Mg 0.0000 0.0000 0.5000
5 Hf 0.0000 0.0000 0.0000

[4]
DFT (PBE) results for a relaxed structure of LiHfCoNi.

Output
Energy   -0.46679 Ry/atom
Energy of formation from the pure elements   -0.162 eV per atom

abc: 4.2525 4.2525 4.2525
angles: 60.00 60.00 60.00
Fractional positions:
1 Hf 0.5000 0.5000 0.5000
2 Co 0.7500 0.7500 0.7500
3 Li 0.0000 0.0000 0.0000
4 Ni 0.2500 0.2500 0.2500